[1]
Ac2La2Ru: optimized geometry, PBE.

Output
- ρ: 7.750 g/cm³
- Total DFT energy (no corrections): -54.82 eV for the cell shown

Structure (POSCAR):
```
Ac2La2Ru
1.0
5.045 0.000 -0.774
-0.119 5.044 -0.774
-0.410 -0.420 14.153
Ac La Ru
4 4 2
Direct
0.821 0.821 0.642
0.071 0.571 0.142
0.429 0.929 0.858
0.179 0.179 0.358
0.944 0.444 0.887
0.694 0.694 0.387
0.306 0.306 0.613
0.556 0.056 0.113
0.500 0.500 0.000
0.750 0.250 0.500
```



[2]
KPmSn2Cl8: optimized geometry, PBE.

Output
- ρ: 2.901 g/cm³
- ΔE_f (raw): -1.59 eV per atom
- Total DFT energy (no corrections): -47.66 eV for the cell shown

Structure (POSCAR):
```
KPmSn2Cl8
1.0
6.899 0.068 -0.133
0.120 6.517 -0.083
-0.159 -0.090 8.985
K Pm Sn Cl
1 1 2 8
Direct
0.000 0.000 0.500
0.000 0.000 0.000
0.512 0.504 0.747
0.488 0.496 0.253
0.141 0.748 0.221
0.683 0.753 0.964
0.816 0.214 0.220
0.859 0.252 0.779
0.317 0.247 0.036
0.184 0.786 0.780
0.643 0.716 0.536
0.357 0.284 0.464
```



[3]
LiV2Re: optimized geometry, PBE.

Output
- ρ: 9.017 g/cm³
- Total DFT energy (no corrections): -31.93 eV for the cell shown

Structure (POSCAR):
```
LiV2Re
1.0
3.064 0.000 0.000
0.000 3.064 0.000
0.000 0.000 5.787
Re Li V
1 1 2
Direct
0.500 0.500 0.000
0.500 0.500 0.500
0.000 0.000 0.749
0.000 0.000 0.251
```



[4]
Nb3PbS: optimized geometry, PBE.

Output
- ρ: 8.586 g/cm³
- ΔE_f (raw): 0.10 eV per atom
- Total DFT energy (no corrections): -37.54 eV for the cell shown
- Offset from the most stable computed form: 0.00 eV/f.u.

Structure (POSCAR):
```
Nb3PbS
1.0
4.644 0.000 0.000
0.000 4.644 0.000
0.000 0.000 4.644
Pb Nb S
1 3 1
Direct
0.500 0.500 0.500
0.000 0.500 0.000
0.000 0.000 0.500
0.500 0.000 0.000
0.000 0.000 0.000
```



[5]
Cu2MoSe: optimized geometry, PBE.

Output
- ρ: 8.623 g/cm³
- ΔE_f (raw): 0.35 eV per atom
- Total DFT energy (no corrections): -21.12 eV for the cell shown

Structure (POSCAR):
```
Cu2MoSe
1.0
3.054 0.000 0.000
0.000 4.140 0.000
0.000 0.000 4.600
Cu Mo Se
2 1 1
Direct
0.000 0.000 0.000
0.500 0.500 0.000
0.500 0.000 0.500
0.000 0.500 0.500
```



[6]
Ta2ReW: optimized geometry, PBE.

Output
- ρ: 18.229 g/cm³
- Total DFT energy (no corrections): -49.83 eV for the cell shown

Structure (POSCAR):
```
Ta2ReW
1.0
5.337 0.000 -0.001
-2.432 4.713 0.005
0.473 0.814 2.652
Re Ta W
1 2 1
Direct
0.500 0.500 0.000
0.000 0.000 0.000
0.500 0.000 0.500
0.000 0.500 0.500
```



[7]
K4Pm3NpTe8: optimized geometry, PBE.

Output
- ρ: 5.104 g/cm³
- ΔE_f (raw): -1.28 eV per atom
- Total DFT energy (no corrections): -77.20 eV for the cell shown

Structure (POSCAR):
```
K4Pm3NpTe8
1.0
9.187 0.000 0.000
0.000 9.783 0.413
-4.594 -4.591 6.500
K Pm Np Te
4 3 1 8
Direct
0.500 0.000 0.000
0.500 0.000 0.500
0.000 0.000 0.000
0.000 0.000 0.500
0.500 0.500 0.000
0.500 0.500 0.500
0.000 0.500 0.500
0.000 0.500 0.000
0.237 0.712 0.975
0.237 0.712 0.474
0.262 0.286 0.524
0.738 0.712 0.975
0.262 0.288 0.025
0.738 0.714 0.476
0.763 0.288 0.526
0.763 0.288 0.025
```



[8]
PmLuAgSn: optimized geometry, PBE.

Output
- ρ: 8.857 g/cm³
- Total DFT energy (no corrections): -18.05 eV for the cell shown

Structure (POSCAR):
```
PmLuAgSn
1.0
5.252 0.000 0.000
2.626 4.549 0.000
2.626 1.516 4.289
Lu Sn Ag Pm
1 1 1 1
Direct
0.500 0.500 0.500
0.250 0.250 0.250
0.750 0.750 0.750
0.000 0.000 0.000
```



> Which value of ρ does entry 3 give?

9.017 g/cm³